A plane-wave DFT calculation with PBE was carried out for Zr2TcRhN after structural relaxation.

Summary:
SG: P4/mmm
DOS at the Fermi energy: 4.13 states/eV/cell
raw formation energy: -3.8 eV per formula unit
spin magnetization: 0.000 μB/atom
uncorrected energy: -9.39 eV per atom

Cell lengths 4.5186, 4.5186, 3.8969 Å; angles 90.00, 90.00, 90.00 degrees
Closest atoms and distances in Å follow each position.
Element x y z (fractional)
1 Rh 0.5000 0.5000 0.5000  8 Zr 2.98, 4 Tc 3.20
2 N 0.0000 0.0000 0.0000  2 Tc 1.95
3 Zr 0.5000 0.0000 0.0000  2 N 2.26
4 Zr 0.0000 0.5000 0.0000  2 N 2.26
5 Tc 0.0000 0.0000 0.5000  2 N 1.95